10
Lattice="8.427 0.000 0.000 0.000 8.427 0.000 0.000 0.000 3.823" Properties=species:S:1:pos:R:3 comment="Tl2Ga2Br, relaxed, DFT PBE" formation_energy_uncorrected_ev_per_atom=-0.100 n_ef_per_ev_atom=0.44 total_energy_ev_per_cell=-25.92 magnetic_moment_mub_per_cell=0.000 pbc="T T T"
Tl 1.612 2.601 0.000
Tl 2.601 6.815 0.000
Tl 5.825 1.612 0.000
Tl 6.815 5.825 0.000
Ga 0.956 5.169 1.911
Ga 3.257 0.956 1.911
Ga 5.169 7.471 1.911
Ga 7.471 3.257 1.911
Br 0.000 0.000 1.911
Br 4.213 4.213 1.911